{"formula": "Rb2NaI", "functional": "PBE", "state": "optimized geometry", "lattice": [[4.6192, 0.0000, 0.0000], [0.0000, 4.6192, 0.0000], [0.0000, 0.0000, 9.8465]], "species": ["Na", "I", "Rb", "Rb"], "frac_coords": [[0.5000, 0.5000, 0.5000], [0.5000, 0.5000, 0.0000], [0.0000, 0.0000, 0.7818], [0.0000, 0.0000, 0.2182]], "e_form_raw_ev_per_atom": -0.672, "vol_a3_per_atom": 52.52, "rho_g_cm3": 2.536, "polymorph_energy_mev_per_atom": 0.0, "energy_ev_per_atom": -1.8726}